[1]
Here is a geometry-optimized ReTe4Se structure from OQMD. Energies are from PBE.

Its offset from the most stable computed form is 0.0455 eV per atom. For the total DFT energy (no corrections), the calculation gives -4.676 eV/atom. The magnetization comes out at 0.0 μB/f.u.

It has space group P-1 (No. 2), with a = 7.303 Å, b = 8.032 Å, c = 8.195 Å, α = 109.97°, β = 110.91° and γ = 103.37°. The asymmetric unit holds Re at (0.222, 0.009, 0.026), Te at (0.079, 0.278, 0.988), Te at (0.251, 0.048, 0.379), Te at (0.426, 0.631, 0.674), Te at (0.472, 0.809, 0.057) and Se at (0.044, 0.809, 0.650).

=====

[2]
Here is a geometry-optimized Gd2Ho2Ni structure from OQMD. Energies are from PBE.

The calculation puts the energy relative to the elements at 0.1 eV per formula unit. For the total DFT energy (no corrections), the calculation gives -4.780 eV/atom. The magnetization comes out at 0.0 μB/f.u.

It has space group P6_3/mmc (No. 194), with a = 5.3469 Å, b = 5.3469 Å, c = 10.7036 Å, α = 90.00°, β = 90.00° and γ = 120.00°. The asymmetric unit holds Gd at (0.3333, 0.6667, 0.0962), Ho at (0.0000, 0.0000, 0.0000), Ho at (0.3333, 0.6667, 0.7500) and Ni at (0.0000, 0.0000, 0.2500).

=====

[3]
Here is a geometry-optimized Nb2CoAs structure from OQMD. Energies are from PBE.

For the total DFT energy (no corrections), the calculation gives -7.824 eV/atom. The magnetization comes out at 0.0 μB/f.u.

It has space group F-43m (No. 216), with a = 6.264 Å, b = 6.264 Å, c = 6.264 Å, α = 90.00°, β = 90.00° and γ = 90.00°. The asymmetric unit holds Nb at (0.000, 0.000, 0.000), Nb at (0.250, 0.250, 0.250), Co at (0.250, 0.250, 0.750) and As at (0.000, 0.000, 0.500).

=====

[4]
Here is a geometry-optimized GdZnGa2Ir4 structure from OQMD. Energies are from PBE.

For the total DFT energy (no corrections), the calculation gives -6.349 eV/atom. The magnetization comes out at 0.0 μB/f.u.

It has space group P4/mmm (No. 123), with a = 4.404 Å, b = 4.404 Å, c = 6.458 Å, α = 90.00°, β = 90.00° and γ = 90.00°. The asymmetric unit holds Gd at (0.000, 0.000, 0.000), Zn at (0.500, 0.500, 0.500), Ga at (0.000, 0.000, 0.500), Ga at (0.500, 0.500, 0.000) and Ir at (0.000, 0.500, 0.274).

=====

[5]
Here is a geometry-optimized DyTm2Ag3 structure from OQMD. Energies are from PBE.

The calculation puts the energy relative to the elements at -2.1 eV per formula unit. For the total DFT energy (no corrections), the calculation gives -4.015 eV/atom. The magnetization comes out at 0.0 μB/f.u.

It has space group P4/mmm (No. 123), with a = 3.575 Å, b = 3.575 Å, c = 10.854 Å, α = 90.00°, β = 90.00° and γ = 90.00°. The asymmetric unit holds Dy at (0.000, 0.000, 0.000), Tm at (0.000, 0.000, 0.335), Ag at (0.500, 0.500, 0.172) and Ag at (0.500, 0.500, 0.500).

=====

[6]
Here is a geometry-optimized NaTbZnS3 structure from OQMD. Energies are from PBE.

Its offset from the most stable computed form is 0.0626 eV per atom. For the total DFT energy (no corrections), the calculation gives -4.624 eV/atom. The magnetization comes out at 0.0 μB/f.u.

It has space group Pnma (No. 62), with a = 7.944 Å, b = 3.986 Å, c = 15.703 Å, α = 90.00°, β = 90.00° and γ = 90.00°. The asymmetric unit holds Na at (0.070, 0.250, 0.224), Tb at (0.240, 0.250, 0.952), Zn at (0.132, 0.250, 0.643), S at (0.002, 0.250, 0.413), S at (0.127, 0.750, 0.056) and S at (0.192, 0.250, 0.784).

=====

[7]
Here is a geometry-optimized PmHoAsO structure from OQMD. Energies are from PBE.

Its offset from the most stable computed form is 0.0000 eV per atom. For the total DFT energy (no corrections), the calculation gives -6.708 eV/atom. The magnetization comes out at 0.0 μB/f.u.

It has space group Pmc2_1 (No. 26), with a = 4.283 Å, b = 7.538 Å, c = 6.085 Å, α = 90.00°, β = 90.00° and γ = 90.00°. The asymmetric unit holds Pm at (0.000, 0.204, 0.000), Ho at (0.500, 0.393, 0.584), As at (0.000, 0.177, 0.492) and O at (0.500, 0.336, 0.939).

=====

[8]
Here is a geometry-optimized LiLu2GaPd4 structure from OQMD. Energies are from PBE.

For the total DFT energy (no corrections), the calculation gives -5.162 eV/atom. The magnetization comes out at 0.0 μB/f.u.

It has space group P-3m1 (No. 164), with a = 4.3687 Å, b = 4.3687 Å, c = 8.8276 Å, α = 90.00°, β = 90.00° and γ = 120.00°. The asymmetric unit holds Li at (0.0000, 0.0000, 0.0000), Lu at (0.3333, 0.6667, 0.2467), Ga at (0.0000, 0.0000, 0.5000), Pd at (0.3333, 0.6667, 0.5833) and Pd at (0.3333, 0.6667, 0.9135).

=====

[9]
Here is a geometry-optimized TbZn2 structure from OQMD. Energies are from PBE.

The calculation puts the energy relative to the elements at -0.7 eV per formula unit. For the total DFT energy (no corrections), the calculation gives -2.624 eV/atom. The magnetization comes out at 0.0 μB/f.u.

It has space group Cmcm (No. 63), with a = 3.596 Å, b = 13.802 Å, c = 4.764 Å, α = 90.00°, β = 90.00° and γ = 90.00°. The asymmetric unit holds Tb at (0.000, 0.086, 0.250), Zn at (0.000, 0.244, 0.750) and Zn at (0.000, 0.392, 0.250).

=====

[10]
Here is a geometry-optimized GdEr2In structure from OQMD. Energies are from PBE.

For the total DFT energy (no corrections), the calculation gives -4.396 eV/atom. The magnetization comes out at 0.2 μB/f.u.

It has space group P4/mmm (No. 123), with a = 4.821 Å, b = 4.821 Å, c = 4.836 Å, α = 90.00°, β = 90.00° and γ = 90.00°. The asymmetric unit holds Gd at (0.000, 0.000, 0.000), Er at (0.000, 0.500, 0.500) and In at (0.500, 0.500, 0.000).

=====

[11]
Here is a geometry-optimized HfMgGaCo structure from OQMD. Energies are from PBE.

Its offset from the most stable computed form is 0.2488 eV per atom. For the total DFT energy (no corrections), the calculation gives -5.383 eV/atom. The magnetization comes out at 0.1 μB/f.u.

It has space group F-43m (No. 216), with a = 6.314 Å, b = 6.314 Å, c = 6.314 Å, α = 90.00°, β = 90.00° and γ = 90.00°. The asymmetric unit holds Hf at (0.000, 0.000, 0.000), Mg at (0.250, 0.250, 0.750), Ga at (0.250, 0.250, 0.250) and Co at (0.000, 0.000, 0.500).

=====

[12]
Here is a geometry-optimized ZnSb structure from OQMD. Energies are from PBE.

For the total DFT energy (no corrections), the calculation gives -2.444 eV/atom.

It has space group P-6m2 (No. 187), with a = 3.3646 Å, b = 3.3646 Å, c = 4.5657 Å, α = 90.00°, β = 90.00° and γ = 120.00°. The asymmetric unit holds Zn at (0.0000, 0.0000, 0.0000) and Sb at (0.3333, 0.6667, 0.5000).

=====

[13]
Here is a geometry-optimized TcNiH2 structure from OQMD. Energies are from PBE.

For the total DFT energy (no corrections), the calculation gives -5.574 eV/atom. The magnetization comes out at 0.0 μB/f.u.

It has space group P4/mmm (No. 123), with a = 2.791 Å, b = 2.791 Å, c = 3.795 Å, α = 90.00°, β = 90.00° and γ = 90.00°. The asymmetric unit holds Tc at (0.000, 0.000, 0.000), Ni at (0.500, 0.500, 0.500), H at (0.000, 0.000, 0.500) and H at (0.500, 0.500, 0.000).

=====

[14]
Here is a geometry-optimized Ba2AuS structure from OQMD. Energies are from PBE.

For the total DFT energy (no corrections), the calculation gives -4.125 eV/atom.

It has space group Pmn2_1 (No. 31), with a = 4.592 Å, b = 9.451 Å, c = 6.598 Å, α = 90.00°, β = 90.00° and γ = 90.00°. The asymmetric unit holds Ba at (0.000, 0.120, 0.000), Ba at (0.000, 0.646, 0.001), Au at (0.000, 0.618, 0.501) and S at (0.000, 0.112, 0.499).

=====

[15]
Here is a geometry-optimized GdYIn6 structure from OQMD. Energies are from PBE.

For the total DFT energy (no corrections), the calculation gives -3.811 eV/atom. The magnetization comes out at 0.0 μB/f.u.

It has space group P-6m2 (No. 187), with a = 6.6622 Å, b = 6.6622 Å, c = 5.1739 Å, α = 90.00°, β = 90.00° and γ = 120.00°. The asymmetric unit holds Gd at (0.0000, 0.0000, 0.0000), Y at (0.6667, 0.3333, 0.5000), In at (0.0113, 0.5056, 0.0000) and In at (0.1731, 0.3461, 0.5000).

=====

[16]
Here is a geometry-optimized Dy2TmGe4O12 structure from OQMD. Energies are from PBE.

For the total DFT energy (no corrections), the calculation gives -7.192 eV/atom. The magnetization comes out at 0.0 μB/f.u.

It has space group P-1 (No. 2), with a = 4.992 Å, b = 7.202 Å, c = 8.082 Å, α = 67.31°, β = 88.70° and γ = 80.56°. The asymmetric unit holds Dy at (0.050, 0.262, 0.467), Tm at (0.000, 0.500, 0.000), Ge at (0.413, 0.877, 0.792), Ge at (0.453, 0.659, 0.227), O at (0.214, 0.924, 0.600), O at (0.219, 0.566, 0.392), O at (0.256, 0.512, 0.778), O at (0.256, 0.748, 0.011), O at (0.264, 0.263, 0.211) and O at (0.401, 0.152, 0.726).

=====

[17]
Here is a geometry-optimized BaPrNO structure from OQMD. Energies are from PBE.

Its offset from the most stable computed form is 0.7219 eV per atom. For the total DFT energy (no corrections), the calculation gives -6.104 eV/atom. The magnetization comes out at 0.0 μB/f.u.

It has space group P4/nmm (No. 129, origin choice 2), with a = 4.426 Å, b = 4.426 Å, c = 8.512 Å, α = 90.00°, β = 90.00° and γ = 90.00°. The asymmetric unit holds Ba at (0.250, 0.750, 0.000), Pr at (0.250, 0.250, 0.393), N at (0.250, 0.250, 0.822) and O at (0.250, 0.750, 0.500).

=====

[18]
Here is a geometry-optimized ZrInAuS3 structure from OQMD. Energies are from PBE.

Its offset from the most stable computed form is 0.0604 eV per atom. For the total DFT energy (no corrections), the calculation gives -5.279 eV/atom. The magnetization comes out at 0.0 μB/f.u.

It has space group Pnma (No. 62), with a = 11.193 Å, b = 3.782 Å, c = 13.162 Å, α = 90.00°, β = 90.00° and γ = 90.00°. The asymmetric unit holds Zr at (0.048, 0.250, 0.142), In at (0.127, 0.250, 0.535), Au at (0.218, 0.750, 0.366), S at (0.034, 0.750, 0.277), S at (0.091, 0.250, 0.940) and S at (0.237, 0.750, 0.651).

=====

[19]
Here is a geometry-optimized SrCu3Ag2 structure from OQMD. Energies are from PBE.

For the total DFT energy (no corrections), the calculation gives -3.154 eV/atom.

It has space group P6/mmm (No. 191), with a = 5.4372 Å, b = 5.4372 Å, c = 4.3101 Å, α = 90.00°, β = 90.00° and γ = 120.00°. The asymmetric unit holds Sr at (0.0000, 0.0000, 0.0000), Cu at (0.0000, 0.5000, 0.5000) and Ag at (0.3333, 0.6667, 0.0000).

=====

[20]
Here is a geometry-optimized La2ErCd3AgAu2 structure from OQMD. Energies are from PBE.

The calculation puts the energy relative to the elements at -5.2 eV per formula unit. For the total DFT energy (no corrections), the calculation gives -3.521 eV/atom. The magnetization comes out at 0.0 μB/f.u.

It has space group Amm2 (No. 38), with a = 3.957 Å, b = 13.867 Å, c = 8.036 Å, α = 90.00°, β = 90.00° and γ = 90.00°. The asymmetric unit holds La at (0.000, 0.205, 0.000), Er at (0.000, 0.000, 0.615), Cd at (0.500, 0.000, 0.945), Cd at (0.500, 0.126, 0.337), Ag at (0.000, 0.000, 0.208) and Au at (0.500, 0.160, 0.701).

=====

[21]
Here is a geometry-optimized Li4ErBiO6 structure from OQMD. Energies are from PBE.

For the total DFT energy (no corrections), the calculation gives -5.820 eV/atom. The magnetization comes out at 0.0 μB/f.u.

It has space group C2 (No. 5), with a = 5.482 Å, b = 9.494 Å, c = 5.298 Å, α = 90.00°, β = 110.19° and γ = 90.00°. The asymmetric unit holds Li at (0.000, 0.000, 0.000), Li at (0.000, 0.149, 0.500), Li at (0.000, 0.309, 0.000), Li at (0.000, 0.637, 0.000), Er at (0.000, 0.816, 0.500), Bi at (0.000, 0.482, 0.500), O at (0.238, 0.484, 0.259), O at (0.241, 0.324, 0.747) and O at (0.241, 0.643, 0.749).

=====

[22]
Here is a geometry-optimized Nd2GaSiBr2 structure from OQMD. Energies are from PBE.

For the total DFT energy (no corrections), the calculation gives -4.816 eV/atom. The magnetization comes out at 0.0 μB/f.u.

It has space group P3m1 (No. 156), with a = 4.1421 Å, b = 4.1421 Å, c = 11.6207 Å, α = 90.00°, β = 90.00° and γ = 120.00°. The asymmetric unit holds Nd at (0.0000, 0.0000, 0.0000), Nd at (0.0000, 0.0000, 0.3626), Ga at (0.3333, 0.6667, 0.1992), Si at (0.6667, 0.3333, 0.1648), Br at (0.3333, 0.6667, 0.8393) and Br at (0.6667, 0.3333, 0.5234).

=====

[23]
Here is a geometry-optimized Li3Mg2Zn structure from OQMD. Energies are from PBE.

For the total DFT energy (no corrections), the calculation gives -1.782 eV/atom.

It has space group Pm (No. 6), with a = 4.670 Å, b = 4.666 Å, c = 5.427 Å, α = 90.00°, β = 115.46° and γ = 90.00°. The asymmetric unit holds Li at (0.000, 0.000, 0.000), Li at (0.136, 0.500, 0.290), Li at (0.643, 0.000, 0.288), Mg at (0.328, 0.000, 0.661), Mg at (0.815, 0.500, 0.647) and Zn at (0.490, 0.500, 0.000).